Here is YTiSe2 at its PBEsol-relaxed geometry from Alexandria via LeMat-Bulk. Energies are from meta-GGA SCAN.

Lattice parameters (Å, degrees): 3.8903 3.8903 24.8511 90.00 90.00 120.00
Space group R-3m (No. 166, hexagonal axes)
One atom of each set of equivalent atoms:
Y (0.0000, 0.0000, 0.0000)
Ti (0.0000, 0.0000, 0.5000)
Se (0.0000, 0.0000, 0.4004)

* formation energy without anion corrections: -105.87 kJ per mole of atoms
* density of states at the Fermi level: 2.190 states/eV/f.u.


Here is Y3TiSe at its PBEsol-relaxed geometry from Alexandria via LeMat-Bulk. Energies are from meta-GGA SCAN.

Lattice parameters (Å, degrees): 5.224 5.224 5.224 90.00 90.00 90.00
Space group Pm-3m (No. 221)
One atom of each set of equivalent atoms:
Y (0.000, 0.000, 0.500)
Ti (0.000, 0.000, 0.000)
Se (0.500, 0.500, 0.500)

* formation energy without anion corrections: 32.18 kJ per mole of atoms
* density of states at the Fermi level: 5.380 states/eV/f.u.


Here is TiZnSe2 at its PBEsol-relaxed geometry from Alexandria via LeMat-Bulk. Energies are from meta-GGA SCAN.

Lattice parameters (Å, degrees): 5.840 5.840 11.012 90.00 90.00 90.00
Space group I-42d (No. 122)
One atom of each set of equivalent atoms:
Ti (0.000, 0.000, 0.000)
Zn (0.000, 0.000, 0.500)
Se (0.240, 0.250, 0.625)

* formation energy without anion corrections: -73.80 kJ per mole of atoms
* density of states at the Fermi level: 0.012 states/eV/f.u.


Here is Tl3Se at its PBEsol-relaxed geometry from Alexandria via LeMat-Bulk. Energies are from meta-GGA SCAN.

Lattice parameters (Å, degrees): 3.9837 3.9837 25.5266 90.00 90.00 120.00
Space group R-3m (No. 166, hexagonal axes)
One atom of each set of equivalent atoms:
Tl (0.0000, 0.0000, 0.0000)
Tl (0.0000, 0.0000, 0.2386)
Se (0.0000, 0.0000, 0.5000)

* formation energy without anion corrections: -20.23 kJ per mole of atoms
* density of states at the Fermi level: 1.161 states/eV/f.u.


Here is Tl3Se at its PBEsol-relaxed geometry from Alexandria via LeMat-Bulk. Energies are from meta-GGA SCAN.

Lattice parameters (Å, degrees): 3.9383 3.9383 8.8728 90.00 90.00 120.00
Space group P-6m2 (No. 187)
One atom of each set of equivalent atoms:
Tl (0.0000, 0.0000, 0.0000)
Tl (0.3333, 0.6667, 0.2888)
Se (0.0000, 0.0000, 0.5000)

* formation energy without anion corrections: -18.85 kJ per mole of atoms
* density of states at the Fermi level: 1.269 states/eV/f.u.


Here is TlSe3 at its PBEsol-relaxed geometry from Alexandria via LeMat-Bulk. Energies are from meta-GGA SCAN.

Lattice parameters (Å, degrees): 5.613 5.613 2.895 90.00 90.00 90.00
Space group P4/mmm (No. 123)
One atom of each set of equivalent atoms:
Tl (0.000, 0.000, 0.000)
Se (0.000, 0.500, 0.500)
Se (0.500, 0.500, 0.000)

* formation energy without anion corrections: 39.46 kJ per mole of atoms
* density of states at the Fermi level: 3.614 states/eV/f.u.


Here is Tl3Se at its PBEsol-relaxed geometry from Alexandria via LeMat-Bulk. Energies are from meta-GGA SCAN.

Lattice parameters (Å, degrees): 4.634 4.634 10.118 90.00 90.00 90.00
Space group I4/mmm (No. 139)
One atom of each set of equivalent atoms:
Tl (0.000, 0.000, 0.000)
Tl (0.000, 0.500, 0.250)
Se (0.000, 0.000, 0.500)

* formation energy without anion corrections: -18.71 kJ per mole of atoms
* density of states at the Fermi level: 1.269 states/eV/f.u.


Here is Tl3Se at its PBEsol-relaxed geometry from Alexandria via LeMat-Bulk. Energies are from meta-GGA SCAN.

Lattice parameters (Å, degrees): 3.987 5.280 10.440 90.00 90.00 90.00
Space group Immm (No. 71)
One atom of each set of equivalent atoms:
Tl (0.000, 0.000, 0.000)
Tl (0.000, 0.500, 0.222)
Se (0.000, 0.000, 0.500)

* formation energy without anion corrections: -21.44 kJ per mole of atoms
* density of states at the Fermi level: 1.153 states/eV/f.u.


Here is Tl3Se at its PBEsol-relaxed geometry from Alexandria via LeMat-Bulk. Energies are from meta-GGA SCAN.

Lattice parameters (Å, degrees): 7.596 7.596 7.596 90.00 90.00 90.00
Space group Fm-3m (No. 225)
One atom of each set of equivalent atoms:
Tl (0.000, 0.000, 0.000)
Tl (0.250, 0.250, 0.250)
Se (0.000, 0.000, 0.500)

* formation energy without anion corrections: -9.09 kJ per mole of atoms
* density of states at the Fermi level: 2.046 states/eV/f.u.


Here is TlSe2 at its PBEsol-relaxed geometry from Alexandria via LeMat-Bulk. Energies are from meta-GGA SCAN.

Lattice parameters (Å, degrees): 9.553 4.180 8.447 90.00 96.52 90.00
Space group C2/m (No. 12)
One atom of each set of equivalent atoms:
Tl (0.030, 0.000, 0.242)
Se (0.124, 0.500, 0.485)
Se (0.204, 0.500, 0.934)

* formation energy without anion corrections: -10.72 kJ per mole of atoms
* density of states at the Fermi level: 1.060 states/eV/f.u.